Material: CaIrI
Method: DFT, PBE
State: optimized geometry

## Properties
energy relative to the elements, uncorrected: -223 meV/atom
total energy: -4.36 eV per atom
SG: No. 11

Unit cell a=4.967 b=8.348 c=4.073 alpha=90.00 beta=90.04 gamma=90.02
Fractional positions:
I  0.762  0.281  0.320
I  0.760  0.781  0.661
Ca  0.261  0.031  0.991
Ca  0.261  0.531  0.991
Ir  0.260  0.781  0.480
Ir  0.262  0.281  0.501



Material: CaIr2I
Method: DFT, PBE
State: optimized geometry

## Properties
energy relative to the elements, uncorrected: 440 meV/atom
total energy: -4.88 eV per atom
SG: No. 122

Unit cell a=4.957 b=4.957 c=9.384 alpha=74.69 beta=74.69 gamma=90.00
Fractional positions:
I  0.000  0.000  0.000
I  0.750  0.250  0.500
Ca  0.500  0.500  0.000
Ca  0.250  0.750  0.500
Ir  0.792  0.125  0.250
Ir  0.958  0.625  0.250
Ir  0.375  0.208  0.750
Ir  0.875  0.042  0.750



Material: CaIrI
Method: DFT, PBE
State: optimized geometry

## Properties
energy relative to the elements, uncorrected: -27 meV/atom
total energy: -4.16 eV per atom
SG: No. 62

Unit cell a=5.753 b=6.857 c=7.272 alpha=90.00 beta=90.00 gamma=90.00
Fractional positions:
I  0.000  0.000  0.000
I  0.500  0.500  0.500
I  0.500  0.000  0.500
I  0.000  0.500  0.000
Ca  0.512  0.250  0.908
Ca  0.988  0.750  0.408
Ca  0.488  0.750  0.092
Ca  0.012  0.250  0.592
Ir  0.259  0.250  0.244
Ir  0.241  0.750  0.744
Ir  0.741  0.750  0.756
Ir  0.759  0.250  0.256



Material: CaIrI
Method: DFT, PBE
State: optimized geometry

## Properties
energy relative to the elements, uncorrected: -211 meV/atom
total energy: -4.35 eV per atom
SG: No. 1

Unit cell a=4.859 b=8.076 c=4.187 alpha=90.01 beta=90.00 gamma=107.67
Fractional positions:
I  0.740  0.348  0.491
I  0.998  0.858  0.487
Ca  0.584  0.026  0.990
Ca  0.313  0.493  0.992
Ir  0.447  0.755  0.492
Ir  0.167  0.205  0.492



Material: CaIrI
Method: DFT, PBE
State: optimized geometry

## Properties
energy relative to the elements, uncorrected: -203 meV/atom
total energy: -4.34 eV per atom
SG: No. 62

Unit cell a=8.352 b=4.203 c=8.468 alpha=90.00 beta=90.00 gamma=90.00
Fractional positions:
I  0.788  0.250  0.450
I  0.712  0.750  0.950
I  0.212  0.750  0.550
I  0.288  0.250  0.050
Ca  0.974  0.250  0.802
Ca  0.526  0.750  0.302
Ca  0.026  0.750  0.198
Ca  0.474  0.250  0.698
Ir  0.265  0.250  0.356
Ir  0.235  0.750  0.856
Ir  0.735  0.750  0.644
Ir  0.765  0.250  0.144



Material: CaIrI
Method: DFT, PBE
State: optimized geometry

## Properties
energy relative to the elements, uncorrected: -78 meV/atom
total energy: -4.22 eV per atom
SG: No. 216

Unit cell a=4.707 b=4.707 c=4.707 alpha=60.00 beta=60.00 gamma=60.00
Fractional positions:
I  0.250  0.250  0.250
Ca  0.750  0.750  0.750
Ir  0.500  0.500  0.500



Material: CaIrI
Method: DFT, PBE
State: optimized geometry

## Properties
energy relative to the elements, uncorrected: -533 meV/atom
total energy: -4.67 eV per atom
SG: No. 1

Unit cell a=8.770 b=4.333 c=5.848 alpha=111.70 beta=110.32 gamma=89.96
Fractional positions:
I  0.749  0.900  0.448
I  0.441  0.538  0.725
Ca  0.806  0.206  0.058
Ca  0.147  0.021  0.691
Ir  0.168  0.302  0.251
Ir  0.073  0.720  0.088



Material: CaIrI
Method: DFT, PBE
State: optimized geometry

## Properties
energy relative to the elements, uncorrected: -486 meV/atom
total energy: -4.62 eV per atom
SG: No. 1

Unit cell a=7.871 b=4.358 c=6.032 alpha=89.81 beta=71.40 gamma=74.01
Fractional positions:
I  0.733  0.380  0.707
I  0.452  0.022  0.343
Ca  0.804  0.348  0.177
Ca  0.082  0.706  0.530
Ir  0.208  0.148  0.086
Ir  0.105  0.699  0.033